No. 1
Computed, not measured: an optimized crystal structure of TaBrCl at the PBE-GGA level of DFT.

Values from the calculation:
As for the excess energy over the best structure of this formula in the dataset: 0 meV/atom. The formation energy without anion corrections is -210 kJ/mol of formula units.

abc: 12.1553 3.5158 8.5852
angles: 90.00 116.18 90.00
Space group C2/m (No. 12)
Asymmetric unit:
1 Ta 0.1711 0.0000 0.0218 x4
2 Br 0.1982 0.0000 0.7352 x4
3 Cl 0.0469 0.0000 0.2033 x4

---

No. 2
Computed, not measured: an optimized crystal structure of Ta2BrCl at the PBE-GGA level of DFT.

Values from the calculation:
As for the excess energy over the best structure of this formula in the dataset: 803 meV/atom. The formation energy without anion corrections is 150 kJ/mol of formula units.

abc: 9.0466 3.0431 5.3213
angles: 90.00 102.38 90.00
Space group C2/m (No. 12)
Asymmetric unit:
1 Ta 0.2448 0.0000 0.2462 x4
2 Br 0.0000 0.0000 0.5000 x2
3 Cl 0.0000 0.5000 0.0000 x2

---

Number 1: DFT total energy -70.2 eV per cell. Number 2: DFT total energy -51.3 eV per cell.